VASP calculation (PBE-GGA) on crystalline RbSc6Se8 at its relaxed geometry.

Computed properties:
The density of states at the Fermi level comes out at 10.34 states/eV/cell.

Unit cell a=10.458 b=10.458 c=3.926 alpha=90.00 beta=90.00 gamma=120.00
Fractional coordinates of all 15 atoms:
Rb (0.000, 0.000, 0.000)
Sc (0.137, 0.653, 0.249)
Sc (0.347, 0.485, 0.249)
Sc (0.485, 0.137, 0.751)
Sc (0.515, 0.863, 0.249)
Sc (0.653, 0.515, 0.751)
Sc (0.863, 0.347, 0.751)
Se (0.045, 0.357, 0.251)
Se (0.312, 0.955, 0.251)
Se (0.333, 0.667, 0.750)
Se (0.357, 0.312, 0.749)
Se (0.643, 0.688, 0.251)
Se (0.667, 0.333, 0.250)
Se (0.688, 0.045, 0.749)
Se (0.955, 0.643, 0.749)

=====

VASP calculation (PBE-GGA) on crystalline Rb3ScSe at its relaxed geometry.

Computed properties:
The density of states at the Fermi level comes out at 14.73 states/eV/cell.

Unit cell a=6.672 b=6.672 c=6.672 alpha=90.00 beta=90.00 gamma=90.00
Fractional coordinates of all 5 atoms:
Rb (0.000, 0.000, 0.500)
Rb (0.000, 0.500, 0.000)
Rb (0.500, 0.000, 0.000)
Sc (0.000, 0.000, 0.000)
Se (0.500, 0.500, 0.500)

=====

VASP calculation (PBE-GGA) on crystalline Rb3ScSe3 at its relaxed geometry.

Computed properties:
For the energy above the lowest structure with this stoichiometry, the calculation gives 0.0084 eV per atom. The density of states at the Fermi level comes out at 0.00 states/eV/cell.

Unit cell a=8.561 b=14.230 c=10.989 alpha=90.00 beta=127.31 gamma=90.00
Fractional coordinates of all 28 atoms:
Rb (0.118, 0.121, 0.473)
Rb (0.118, 0.379, 0.973)
Rb (0.171, 0.107, 0.892)
Rb (0.171, 0.393, 0.392)
Rb (0.337, 0.680, 0.551)
Rb (0.337, 0.820, 0.051)
Rb (0.663, 0.180, 0.949)
Rb (0.663, 0.320, 0.449)
Rb (0.829, 0.607, 0.608)
Rb (0.829, 0.893, 0.108)
Rb (0.882, 0.621, 0.027)
Rb (0.882, 0.879, 0.527)
Sc (0.446, 0.065, 0.341)
Sc (0.446, 0.435, 0.841)
Sc (0.554, 0.565, 0.159)
Sc (0.554, 0.935, 0.659)
Se (0.180, 0.190, 0.200)
Se (0.180, 0.310, 0.700)
Se (0.330, 0.600, 0.865)
Se (0.330, 0.900, 0.365)
Se (0.366, 0.546, 0.268)
Se (0.366, 0.954, 0.768)
Se (0.634, 0.046, 0.232)
Se (0.634, 0.454, 0.732)
Se (0.670, 0.100, 0.635)
Se (0.670, 0.400, 0.135)
Se (0.820, 0.690, 0.300)
Se (0.820, 0.810, 0.800)

=====

VASP calculation (PBE-GGA) on crystalline Rb2ScSe2 at its relaxed geometry.

Computed properties:
The density of states at the Fermi level comes out at 4.25 states/eV/cell.

Unit cell a=8.627 b=8.627 c=8.627 alpha=126.37 beta=73.29 gamma=134.00
Fractional coordinates of all 10 atoms:
Rb (0.150, 0.148, 0.298)
Rb (0.350, 0.648, 0.998)
Rb (0.650, 0.352, 0.002)
Rb (0.850, 0.852, 0.702)
Sc (0.250, 0.750, 0.500)
Sc (0.750, 0.250, 0.500)
Se (0.101, 0.696, 0.797)
Se (0.399, 0.196, 0.595)
Se (0.601, 0.804, 0.405)
Se (0.899, 0.304, 0.203)

=====

VASP calculation (PBE-GGA) on crystalline RbScSiSe4 at its relaxed geometry.

Unit cell a=6.476 b=6.991 c=9.386 alpha=90.00 beta=108.78 gamma=90.00
Fractional coordinates of all 14 atoms:
Rb (0.246, 0.250, 0.055)
Rb (0.754, 0.750, 0.945)
Sc (0.222, 0.250, 0.548)
Sc (0.778, 0.750, 0.452)
Si (0.228, 0.750, 0.343)
Si (0.772, 0.250, 0.657)
Se (0.014, 0.502, 0.693)
Se (0.014, 0.998, 0.693)
Se (0.428, 0.750, 0.185)
Se (0.461, 0.750, 0.580)
Se (0.539, 0.250, 0.420)
Se (0.572, 0.250, 0.815)
Se (0.986, 0.002, 0.307)
Se (0.986, 0.498, 0.307)

=====

VASP calculation (PBE-GGA) on crystalline Rb2ScSiSe4 at its relaxed geometry.

Computed properties:
The density of states at the Fermi level comes out at 8.66 states/eV/cell.

Unit cell a=14.418 b=12.966 c=7.823 alpha=83.93 beta=63.41 gamma=32.66
Fractional coordinates of all 16 atoms:
Rb (0.055, 0.055, 0.695)
Rb (0.305, 0.305, 0.945)
Rb (0.695, 0.695, 0.055)
Rb (0.945, 0.945, 0.305)
Sc (0.125, 0.125, 0.125)
Sc (0.875, 0.875, 0.875)
Si (0.375, 0.375, 0.375)
Si (0.625, 0.625, 0.625)
Se (0.002, 0.647, 0.558)
Se (0.293, 0.558, 0.647)
Se (0.353, 0.998, 0.707)
Se (0.442, 0.707, 0.998)
Se (0.558, 0.293, 0.002)
Se (0.647, 0.002, 0.293)
Se (0.707, 0.442, 0.353)
Se (0.998, 0.353, 0.442)

=====

Sequential calculated volume output: 24.790; 59.409; 38.031; 36.332; 28.735; 36.488 A^3/atom
Sequential calculated total energy output: -6.1082; -1.8777; -4.2023; -4.2792; -4.9241; -4.4893 eV/atom
Sequential formation energy without anion corrections output: -1653; 666; -1390; -1232; -1115; -1036 meV/atom